No. 1
HfBeCl2 | PBE-GGA | optimized geometry

The structure in POSCAR format:
```
HfBeCl2
1.0
-8.160 1.271 4.027
-8.195 -1.854 3.717
-6.771 -0.537 6.187
Be Hf Cl
1 1 2
Direct
0.000 0.000 0.000
0.500 0.500 0.500
0.903 0.903 0.903
0.097 0.097 0.097
```

Properties
ρ in Mg/m³: 5.58
ΔE_f (raw) in eV/atom: -0.379

No. 2
LaGa3Ir | PBE-GGA | optimized geometry

The structure in POSCAR format:
```
LaGa3Ir
1.0
-4.412 -1.898 0.250
1.581 -3.965 -2.216
1.081 -1.951 4.262
Ir Ga La
1 3 1
Direct
0.000 0.000 0.000
0.000 0.500 0.000
0.000 0.000 0.500
0.500 0.000 0.000
0.500 0.500 0.500
```

Properties
DFT formation energy in eV/atom: -0.4326
ρ in Mg/m³: 8.06

No. 3
DyY2Ho2Er4 | PBE-GGA | optimized geometry

The structure in POSCAR format:
```
DyY2Ho2Er4
1.0
3.561 0.000 0.000
-1.780 9.236 -0.475
0.000 -3.668 8.713
Dy Y Ho Er
1 2 2 4
Direct
0.000 0.000 0.000
0.853 0.705 0.335
0.147 0.295 0.665
0.333 0.667 0.998
0.667 0.333 0.002
0.815 0.630 0.665
0.185 0.370 0.335
0.519 0.037 0.333
0.481 0.963 0.667
```

Properties
DFT formation energy in eV/atom: -0.0001
ρ in Mg/m³: 7.93

| no. | spin magnetization (μB per formula unit) |
| --- | --- |
| 1 | 0.0 |
| 2 | 0.0 |
| 3 | 0.0 |